(1)
Below is a geometry-optimized YSi4Os structure, with properties calculated at the GGA-PBE level.

SG   F-43m
Formation energy without anion corrections   1.65 eV per formula unit
Crystal system   cubic
Calculated density   6.9 g/cm3

a = 5.0998 Å, b = 5.0998 Å, c = 5.0998 Å
α = 60.00°, β = 60.00°, γ = 60.00°
Last column: nearest neighbours and their distance in Å.
Sites, in units of the cell vectors:
Si1 0.6259 0.6259 0.1222  6 Si 2.53-2.57
Si2 0.1222 0.6259 0.6259  6 Si 2.53-2.57
Si3 0.6259 0.1222 0.6259  6 Si 2.53-2.57
Si4 0.6259 0.6259 0.6259  6 Si 2.53-2.57
Os1 0.0000 0.0000 0.0000  12 Si 2.99, 4 Y 3.12
Y1 0.2500 0.2500 0.2500  12 Si 2.99, 4 Os 3.12

***

(2)
Below is a geometry-optimized Y2SiOs structure, with properties calculated at the GGA-PBE level.

SG   Imm2
Formation energy without anion corrections   -1.44 eV per formula unit
Crystal system   orthorhombic
Calculated density   7.6 g/cm3

a = 6.2386 Å, b = 6.2386 Å, c = 6.2386 Å
α = 148.92°, β = 135.77°, γ = 55.04°
Last column: nearest neighbours and their distance in Å.
Sites, in units of the cell vectors:
Si1 0.6882 0.1882 0.5000  2 Os 2.45
Os1 0.5266 0.5266 0.0000  2 Si 2.45
Y1 0.2838 0.7838 0.5000  4 Si 3.07, 2 Os 3.16, 4 Y 3.34-3.36
Y2 0.0015 0.0015 0.0000  4 Os 2.90, 2 Si 3.13

***

(3)
Below is a geometry-optimized Y2SiOs structure, with properties calculated at the GGA-PBE level.

SG   R-3m
Formation energy without anion corrections   0.02 eV per formula unit
Crystal system   trigonal
Calculated density   7.4 g/cm3

a = 8.6336 Å, b = 8.6336 Å, c = 8.6336 Å
α = 23.39°, β = 23.39°, γ = 23.39°
Last column: nearest neighbours and their distance in Å.
Sites, in units of the cell vectors:
Si1 0.7500 0.7500 0.7500  6 Y 2.97
Y1 0.9966 0.9966 0.9966  3 Os 2.85, 3 Si 2.97
Y2 0.5034 0.5034 0.5034  3 Os 2.85, 3 Si 2.97
Os1 0.2500 0.2500 0.2500  6 Y 2.85

***

(4)
Below is a geometry-optimized Y2SiOs structure, with properties calculated at the GGA-PBE level.

SG   Amm2
Formation energy without anion corrections   -2.12 eV per formula unit
Crystal system   orthorhombic
Calculated density   7.4 g/cm3

a = 3.9653 Å, b = 4.2146 Å, c = 5.7258 Å
α = 68.42°, β = 90.00°, γ = 90.00°
Last column: nearest neighbours and their distance in Å.
Sites, in units of the cell vectors:
Os1 0.0000 0.6947 0.4861  2 Si 2.43
Y1 0.0000 0.9805 0.9135  4 Si 3.02, 3 Os 3.05-3.10
Y2 0.5000 0.2627 0.3494  4 Os 2.98, 3 Si 3.00-3.19
Si1 0.5000 0.5620 0.7509  2 Os 2.43

***

(5)
Below is a geometry-optimized ZnSi2Os structure, with properties calculated at the GGA-PBE level.

SG   R-3m
Formation energy without anion corrections   0.08 eV per formula unit
Crystal system   trigonal
Calculated density   8.9 g/cm3

a = 7.9189 Å, b = 7.9189 Å, c = 7.9189 Å
α = 21.51°, β = 21.51°, γ = 21.51°
Last column: nearest neighbours and their distance in Å.
Sites, in units of the cell vectors:
Si1 0.4941 0.4941 0.4941  3 Os 2.48, 3 Zn 2.68
Si2 0.0059 0.0059 0.0059  3 Os 2.48, 3 Zn 2.68
Zn1 0.2500 0.2500 0.2500  6 Si 2.68, 6 Zn 2.96
Os1 0.7500 0.7500 0.7500  6 Si 2.48

***

(6)
Below is a geometry-optimized ZnSiOs3 structure, with properties calculated at the GGA-PBE level.

Energy above the most stable polymorph in this dataset   1038.9 meV per atom
SG   Pm-3m
Formation energy without anion corrections   11.09 eV per formula unit
Crystal system   cubic
Calculated density   12.5 g/cm3

a = 4.4563 Å, b = 4.4563 Å, c = 4.4563 Å
α = 90.00°, β = 90.00°, γ = 90.00°
Last column: nearest neighbours and their distance in Å.
Sites, in units of the cell vectors:
Os1 0.0000 0.5000 0.0000  2 Zn 2.23
Os2 0.5000 0.0000 0.0000  2 Zn 2.23
Os3 0.0000 0.0000 0.5000  2 Zn 2.23
Si1 0.5000 0.5000 0.5000  12 Os 3.15
Zn1 0.0000 0.0000 0.0000  6 Os 2.23